Density functional theory data (GGA-PBE) for a geometry-optimized DyHo2In3NiAg2 structure.

Output
* uncorrected energy: -4.14 eV per atom
* space group: Amm2, No. 38

Cell and atoms, written as POSCAR:
```
DyHo2In3NiAg2
1.0
3.858 0.000 0.000
0.000 6.705 3.867
0.000 -6.705 3.867
Ag Dy Ho In Ni
2 1 2 3 1
Direct
0.500 0.667 0.333
0.500 0.333 0.667
0.000 0.601 0.601
0.000 0.399 0.000
0.000 0.000 0.399
0.500 0.752 0.000
0.500 0.248 0.248
0.500 0.000 0.752
0.000 0.000 0.000
```


Density functional theory data (GGA-PBE) for a geometry-optimized Dy2HoIn3NiAg2 structure.

Output
* uncorrected energy: -4.15 eV per atom
* space group: Amm2, No. 38

Cell and atoms, written as POSCAR:
```
Dy2HoIn3NiAg2
1.0
3.866 0.000 0.000
0.000 6.715 3.880
0.000 -6.715 3.880
Ag Dy Ho In Ni
2 2 1 3 1
Direct
0.500 0.666 0.334
0.500 0.334 0.666
0.000 0.399 0.000
0.000 0.000 0.399
0.000 0.602 0.602
0.500 0.248 0.248
0.500 0.000 0.752
0.500 0.752 0.000
0.000 0.000 0.000
```


Density functional theory data (GGA-PBE) for a geometry-optimized DyHo2In3Ni2Ag structure.

Output
* uncorrected energy: -4.46 eV per atom
* space group: Amm2, No. 38

Cell and atoms, written as POSCAR:
```
DyHo2In3Ni2Ag
1.0
3.884 0.000 0.000
0.000 6.530 3.768
0.000 -6.530 3.768
Ag Dy Ho In Ni
1 1 2 3 2
Direct
0.000 0.000 0.000
0.000 0.412 0.412
0.000 0.588 0.000
0.000 0.000 0.588
0.500 0.000 0.272
0.500 0.728 0.728
0.500 0.272 0.000
0.500 0.667 0.333
0.500 0.333 0.667
```


Density functional theory data (GGA-PBE) for a geometry-optimized DyHo2In3AgPd2 structure.

Output
* uncorrected energy: -4.60 eV per atom
* space group: Amm2, No. 38

Cell and atoms, written as POSCAR:
```
DyHo2In3AgPd2
1.0
3.777 0.000 0.000
0.000 6.784 3.915
0.000 -6.784 3.915
Ag Dy Ho In Pd
1 1 2 3 2
Direct
0.000 0.000 0.000
0.000 0.409 0.409
0.000 0.591 0.000
0.000 0.000 0.591
0.500 0.000 0.269
0.500 0.731 0.731
0.500 0.269 0.000
0.500 0.667 0.333
0.500 0.333 0.667
```


uncorrected energy of number 4 (DyHo2In3AgPd2)? -4.60 eV per atom